DFT (PBE) results for CaRePt after structural relaxation.

Cell: 6.3728 6.3728 6.3728 Å, 90.00 90.00 90.00°
With the nearest neighbours (Å) after each atom.
Space group F-43m (No. 216)
Unique sites:
Ca: 0.0000 0.0000 0.0000 (multiplicity 4)  4 Pt 2.76
Re: 0.0000 0.0000 0.5000 (multiplicity 4)  4 Pt 2.76
Pt: 0.2500 0.2500 0.7500 (multiplicity 4)  4 Re 2.76, 4 Ca 2.76

Summary:
The formation enthalpy at 0 K comes out at 604 meV per atom. Its energy above the lowest structure with this stoichiometry is 500 meV per atom. Its density of states at the Fermi level is 1.374 states/eV/atom.

---

DFT (PBE) results for Ca2TlHg after structural relaxation.

Cell: 3.9781 3.9781 27.7701 Å, 90.00 90.00 120.00°
With the nearest neighbours (Å) after each atom.
Space group R3m (No. 160, hexagonal axes)
Unique sites:
Ca: 0.0000 0.0000 0.0000 (multiplicity 3)  3 Hg 3.19, 3 Tl 3.34
Ca: 0.0000 0.0000 0.1751 (multiplicity 3)  3 Hg 3.17, 3 Tl 3.35
Tl: 0.0000 0.0000 0.4208 (multiplicity 3)  6 Ca 3.34-3.35
Hg: 0.0000 0.0000 0.5870 (multiplicity 3)  6 Ca 3.17-3.19

Summary:
The formation enthalpy at 0 K comes out at -341 meV per atom. Its density of states at the Fermi level is 0.677 states/eV/atom.

---

DFT (PBE) results for LaTb2Pm after structural relaxation.

Cell: 3.6458 3.6458 10.1893 Å, 90.00 90.00 90.00°
With the nearest neighbours (Å) after each atom.
Space group P4/mmm (No. 123)
Unique sites:
La: 0.0000 0.0000 0.0000 (multiplicity 1)  4 La 3.65, 8 Tb 3.65
Tb: 0.5000 0.5000 0.2536 (multiplicity 2)  4 Pm 3.60, 4 Tb 3.65, 4 La 3.65
Pm: 0.0000 0.0000 0.5000 (multiplicity 1)  8 Tb 3.60, 4 Pm 3.65

Summary:
The formation enthalpy at 0 K comes out at 24 meV per atom. Its energy above the lowest structure with this stoichiometry is 11 meV per atom. Its density of states at the Fermi level is 1.658 states/eV/atom.

---

DFT (PBE) results for LaAuI2O after structural relaxation.

Cell: 5.8670 5.8670 4.0671 Å, 90.00 90.00 90.00°
With the nearest neighbours (Å) after each atom.
Space group P4/mmm (No. 123)
Unique sites:
La: 0.0000 0.0000 0.0000 (multiplicity 1)  8 I 3.57
Au: 0.5000 0.5000 0.5000 (multiplicity 1)  2 O 2.03
I: 0.0000 0.5000 0.5000 (multiplicity 2)  2 Au 2.93
O: 0.5000 0.5000 0.0000 (multiplicity 1)  2 Au 2.03

Summary:
Its energy above the lowest structure with this stoichiometry is 542 meV per atom. Its uncorrected formation energy is -0.4266 eV/atom. Its density of states at the Fermi level is 1.112 states/eV/atom.

---

DFT (PBE) results for Li2TmScTe4 after structural relaxation.

Cell: 7.3300 4.2338 7.4191 Å, 90.00 109.18 90.00°
With the nearest neighbours (Å) after each atom.
Space group P2/m (No. 10)
Unique sites:
Li: 0.0000 0.0000 0.0000 (multiplicity 1)  6 Te 3.05
Li: 0.5000 0.5000 0.0000 (multiplicity 1)  6 Te 2.98
Tm: 0.0000 0.5000 0.5000 (multiplicity 1)  6 Te 3.03
Sc: 0.5000 0.0000 0.5000 (multiplicity 1)  6 Te 2.96-2.97
Te: 0.2577 0.0000 0.7509 (multiplicity 2)  1 Sc 2.96, 3 Li 2.98-3.05, 2 Tm 3.03
Te: 0.2591 0.5000 0.2543 (multiplicity 2)  2 Sc 2.97, 3 Li 2.98-3.05, 1 Tm 3.03

Summary:
Its uncorrected formation energy is -1.2206 eV/atom.

---

DFT (PBE) results for LiTl2SI after structural relaxation.

Cell: 6.1698 6.1698 4.5287 Å, 90.00 90.00 90.00°
With the nearest neighbours (Å) after each atom.
Space group P4/mmm (No. 123)
Unique sites:
Li: 0.0000 0.0000 0.0000 (multiplicity 1)  2 S 2.26
Tl: 0.0000 0.5000 0.5000 (multiplicity 2)  2 S 3.08
S: 0.0000 0.0000 0.5000 (multiplicity 1)  2 Li 2.26
I: 0.5000 0.5000 0.0000 (multiplicity 1)  8 Tl 3.83

Summary:
Its uncorrected formation energy is -0.6115 eV/atom.

---

DFT (PBE) results for YTm7Sc3 after structural relaxation.

Cell: 6.6087 5.3193 9.5045 Å, 90.00 104.23 90.00°
With the nearest neighbours (Å) after each atom.
Space group P2/m (No. 10)
Unique sites:
Y: 0.0000 0.0000 0.0000 (multiplicity 1)  2 Sc 3.30, 8 Tm 3.43-3.69
Tm: 0.0000 0.0000 0.5000 (multiplicity 1)  4 Sc 3.25, 2 Tm 3.54
Tm: 0.1581 0.5000 0.7793 (multiplicity 2)  2 Sc 3.13-3.27, 3 Tm 3.24-3.47
Tm: 0.3191 0.5000 0.1295 (multiplicity 2)  5 Tm 3.24-3.47, 3 Sc 3.28-3.40, 2 Y 3.43
Tm: 0.4595 0.0000 0.3297 (multiplicity 2)  3 Tm 3.15-3.27, 5 Sc 3.21-3.46
Sc: 0.2728 0.5000 0.4782 (multiplicity 2)  1 Sc 2.93, 4 Tm 3.13-3.27
Sc: 0.5000 0.0000 0.0000 (multiplicity 1)  6 Tm 3.21-3.28, 2 Y 3.30

Summary:
The formation enthalpy at 0 K comes out at 149 meV per atom. Its energy above the lowest structure with this stoichiometry is 0 meV per atom. Its density of states at the Fermi level is 1.660 states/eV/atom.

---

DFT (PBE) results for Li2Ta2VSe6 after structural relaxation.

Cell: 6.1992 10.8853 6.9353 Å, 90.00 104.71 90.00°
With the nearest neighbours (Å) after each atom.
Space group C2/m (No. 12)
Unique sites:
Li: 0.0000 0.1842 0.0000 (multiplicity 4)  6 Se 2.67-2.78
Ta: 0.0000 0.3655 0.5000 (multiplicity 4)  6 Se 2.56-2.77
V: 0.0000 0.0000 0.5000 (multiplicity 2)  6 Se 2.59-2.63
Se: 0.2263 0.1714 0.7204 (multiplicity 8)  2 Ta 2.59-2.77, 1 V 2.59, 2 Li 2.67-2.73
Se: 0.2401 0.0000 0.2374 (multiplicity 4)  2 Ta 2.56, 1 V 2.63, 2 Li 2.78

Summary:
Its uncorrected formation energy is -0.8752 eV/atom. Its density of states at the Fermi level is 0.350 states/eV/atom.

---

DFT (PBE) results for SnSe2N after structural relaxation.

Cell: 4.0257 4.0257 22.0183 Å, 90.00 90.00 120.00°
With the nearest neighbours (Å) after each atom.
Space group R-3m (No. 166, hexagonal axes)
Unique sites:
Sn: 0.0000 0.0000 0.0000 (multiplicity 3)  6 Se 3.01
Se: 0.0000 0.0000 0.4199 (multiplicity 6)  1 N 1.76
N: 0.0000 0.0000 0.5000 (multiplicity 3)  2 Se 1.76

Summary:
Its energy above the lowest structure with this stoichiometry is 433 meV per atom. Its uncorrected formation energy is 0.6360 eV/atom. Its density of states at the Fermi level is 0.600 states/eV/atom.

---

DFT (PBE) results for KHgB2 after structural relaxation.

Cell: 4.5109 4.5109 15.6143 Å, 90.00 90.00 90.00°
With the nearest neighbours (Å) after each atom.
Space group I4_1/amd (No. 141, origin choice 2)
Unique sites:
K: 0.0000 0.2500 0.3750 (multiplicity 4)  8 B 3.19, 4 Hg 3.19
Hg: 0.0000 0.2500 0.8750 (multiplicity 4)  4 B 2.25
B: 0.0000 0.0000 0.0000 (multiplicity 8)  2 Hg 2.25, 2 B 2.26

Summary:
The formation enthalpy at 0 K comes out at 1196 meV per atom. Its density of states at the Fermi level is 0.678 states/eV/atom.

---

DFT (PBE) results for DyZnGa2Co2 after structural relaxation.

Cell: 4.3695 4.3695 5.4225 Å, 90.00 90.00 90.00°
With the nearest neighbours (Å) after each atom.
Space group P4/mmm (No. 123)
Unique sites:
Dy: 0.0000 0.0000 0.0000 (multiplicity 1)  2 Zn 2.71
Zn: 0.0000 0.0000 0.5000 (multiplicity 1)  4 Co 2.18
Ga: 0.5000 0.5000 0.2477 (multiplicity 2)  4 Co 2.58, 2 Ga 2.69-2.74
Co: 0.0000 0.5000 0.5000 (multiplicity 2)  2 Zn 2.18

Summary:
The formation enthalpy at 0 K comes out at -52 meV per atom. Its density of states at the Fermi level is 0.610 states/eV/atom.

---

DFT (PBE) results for CrW after structural relaxation.

Cell: 9.5817 3.0438 6.0839 Å, 90.00 108.47 90.00°
With the nearest neighbours (Å) after each atom.
Space group Cm (No. 8)
Unique sites:
Cr: 0.0000 0.0000 0.0000 (multiplicity 2)  6 W 2.58-2.63, 2 Cr 2.59
Cr: 0.0006 0.0000 0.5109 (multiplicity 2)  2 Cr 2.58, 6 W 2.61-2.68
Cr: 0.1617 0.5000 0.8348 (multiplicity 2)  4 Cr 2.58-2.59, 4 W 2.64-2.65
W: 0.1592 0.5000 0.3355 (multiplicity 2)  4 Cr 2.61, 4 W 2.69-2.70
W: 0.3327 0.0000 0.1647 (multiplicity 2)  6 Cr 2.63-2.68, 2 W 2.69
W: 0.3361 0.0000 0.6781 (multiplicity 2)  6 Cr 2.58-2.65, 2 W 2.70

Summary:
The formation enthalpy at 0 K comes out at 74 meV per atom. Its density of states at the Fermi level is 0.647 states/eV/atom.

---

| no. | electronic total energy (eV for the cell shown) | calculated density (g cm⁻³) | total magnetic moment (μB per cell) |
| --- | --- | --- | --- |
| 1 | -74.72 | 10.8 | 3.8 |
| 2 | -24.10 | 6.3 | 0.0 |
| 3 | -18.84 | 7.4 | 0.0 |
| 4 | -18.40 | 7.2 | 0.2 |
| 5 | -36.96 | 5.6 | 0.0 |
| 6 | -15.38 | 5.5 | 0.0 |
| 7 | -55.12 | 7.2 | 0.0 |
| 8 | -134.37 | 6.6 | 4.3 |
| 9 | -50.26 | 4.7 | 0.0 |
| 10 | -39.88 | 5.5 | 0.0 |
| 11 | -26.45 | 7.8 | 1.3 |
| 12 | -134.57 | 14.0 | 0.0 |